a) Density functional theory data (PBE-GGA) for a relaxed Li2ReIr crystal.

abc: 4.536 4.536 4.980
angles: 96.55 96.55 34.53
Atoms (fractional coordinates):
1 Li 0.000 0.000 0.000
2 Li 0.241 0.241 0.804
3 Re 0.754 0.754 0.321
4 Ir 0.502 0.502 0.495

SG = No. 8

b) Density functional theory data (PBE-GGA) for a relaxed Li2ReIr crystal.

abc: 2.675 4.230 5.103
angles: 90.00 95.00 90.00
Atoms (fractional coordinates):
1 Li 0.000 0.000 0.000
2 Li 0.414 0.500 0.844
3 Re 0.885 0.500 0.359
4 Ir 0.424 0.000 0.510

SG = No. 6

c) Density functional theory data (PBE-GGA) for a relaxed Li2ReIr crystal.

abc: 5.134 5.134 5.134
angles: 139.08 139.08 59.25
Atoms (fractional coordinates):
1 Li 0.250 0.750 0.500
2 Li 0.750 0.250 0.500
3 Re 0.000 0.000 0.000
4 Ir 0.500 0.500 0.000

SG = No. 139

d) Density functional theory data (PBE-GGA) for a relaxed Li2ReIr crystal.

abc: 5.349 5.349 5.349
angles: 102.41 102.41 124.75
Atoms (fractional coordinates):
1 Li 0.115 0.625 0.990
2 Li 0.375 0.365 0.490
3 Li 0.635 0.125 0.010
4 Li 0.875 0.885 0.510
5 Re 0.250 0.750 0.500
6 Re 0.500 0.500 0.000
7 Ir 0.000 0.000 0.000
8 Ir 0.750 0.250 0.500

SG = No. 122

Energy ordering: b) at the bottom, the next structure 51 meV per atom above.